# PrSm2Tm4Th | Alexandria | PBE-GGA | relaxed
data_PrSm2Tm4Th
_symmetry_space_group_name_H-M 'P m m m'
_symmetry_Int_Tables_number 47
_cell_length_a 5.0836
_cell_length_b 5.0971
_cell_length_c 9.8719
_cell_angle_alpha 90.00
_cell_angle_beta 90.00
_cell_angle_gamma 90.00
loop_
_symmetry_equiv_pos_as_xyz
'x,y,z'
'-x,-y,-z'
'-x,-y,z'
'x,y,-z'
'x,-y,-z'
'-x,y,z'
'-x,y,-z'
'x,-y,z'
loop_
_atom_site_label
_atom_site_type_symbol
_atom_site_fract_x
_atom_site_fract_y
_atom_site_fract_z
Pr1 Pr 0.0000 0.0000 0.0000
Sm1 Sm 0.0000 0.0000 0.5000
Sm2 Sm 0.5000 0.5000 0.0000
Tm1 Tm 0.0000 0.5000 0.2549
Tm2 Tm 0.5000 0.0000 0.2551
Th1 Th 0.5000 0.5000 0.5000
# DOS(E_F) = 1.357 states/eV/atom
# DFT total energy = -4.912 eV/atom
# crystal system = orthorhombic